# 1
DFT (PBE-GGA) results for a relaxed Dy3Pd8Au2 crystal.

The structure belongs to space group R-3m (No. 166, hexagonal axes); the cell edges are 5.3254, 5.3254 and 30.8556 Å and the angles 90.00°, 90.00° and 120.00°. The distinct sites, in fractional coordinates, are Dy at (0.0000, 0.0000, 0.0000), Dy at (0.0000, 0.0000, 0.1885), Pd at (0.0000, 0.0000, 0.2763), Pd at (0.0027, 0.5013, 0.7692) and Au at (0.0000, 0.0000, 0.3613).

The total magnetization comes out at 0.00 Bohr magnetons per cell. The calculation puts the electronic total energy at -206.0 eV/cell. The energy relative to the elements is -0.520 eV per atom.

# 2
DFT (PBE-GGA) results for a relaxed Dy5Pd2Au2 crystal.

The structure belongs to space group Cmce (No. 64); the cell edges are 15.373, 7.447 and 7.707 Å and the angles 90.00°, 90.00° and 90.00°. The distinct sites, in fractional coordinates, are Dy at (0.000, 0.000, 0.000), Dy at (0.135, 0.172, 0.329), Pd at (0.000, 0.129, 0.631) and Au at (0.206, 0.000, 0.000).

The total magnetization comes out at 0.00 Bohr magnetons per cell. The calculation puts the electronic total energy at -188.0 eV/cell. The energy relative to the elements is -0.782 eV per atom.

# 3
DFT (PBE-GGA) results for a relaxed DyPd4Au5 crystal.

The structure belongs to space group C2/m (No. 12); the cell edges are 13.457, 4.707 and 5.748 Å and the angles 90.00°, 102.85° and 90.00°. The distinct sites, in fractional coordinates, are Dy at (0.000, 0.000, 0.000), Pd at (0.104, 0.500, 0.855), Pd at (0.206, 0.000, 0.322), Au at (0.000, 0.000, 0.500), Au at (0.099, 0.500, 0.358) and Au at (0.208, 0.000, 0.821).

The value obtained for the excess energy over the best structure of this formula in the dataset is 0.0 kJ/mol of atoms. The total magnetization comes out at 0.00 Bohr magnetons per cell. The calculation puts the electronic total energy at -90.8 eV/cell. The energy relative to the elements is -0.362 eV per atom.